A plane-wave DFT calculation with PBE was carried out for a relaxed TmAgSb2 crystal.

## Properties
Its density of states at the Fermi level is 2.70 states/eV/f.u. The energy relative to the elements, uncorrected is -1.01 eV/f.u.

Unit cell a=4.5272 b=4.5272 c=17.9993 alpha=90.00 beta=90.00 gamma=120.00
Space group R-3m (No. 166, hexagonal axes)
Asymmetric unit:
Tm1 0.0000 0.0000 0.0000 x3
Ag1 0.0000 0.0000 0.5000 x3
Sb1 0.0000 0.0000 0.2452 x6